Density functional theory data (PBE) for a geometry-optimized LaGaSbTe2 structure.

Results
- Total magnetic moment: 0.00 μB/atom
- Mass density: 6.22 g/cm3
- Offset from the most stable computed form: 0 meV/atom

Cell lengths 5.4716, 5.4716, 5.2250 Å; angles 90.00, 90.00, 90.00 degrees
Closest atoms and distances in Å follow each position.
Sites, in units of the cell vectors:
La 0.0000 0.0000 0.0000  8 Te 3.78, 4 Sb 3.87
Ga 0.5000 0.5000 0.5000  2 Sb 2.61, 4 Te 2.74
Sb 0.5000 0.5000 0.0000  2 Ga 2.61
Te 0.0000 0.5000 0.5000  2 Ga 2.74
Te 0.5000 0.0000 0.5000  2 Ga 2.74

***

Density functional theory data (PBE) for a geometry-optimized LaGaSbTe2 structure.

Results
- Total magnetic moment: 0.18 μB/atom
- Mass density: 4.18 g/cm3
- Offset from the most stable computed form: 343 meV/atom

Cell lengths 6.1519, 6.1519, 6.1475 Å; angles 90.00, 90.00, 90.00 degrees
Closest atoms and distances in Å follow each position.
Sites, in units of the cell vectors:
La 0.0000 0.0000 0.0000  2 Sb 3.07, 4 Te 3.08
Ga 0.5000 0.5000 0.5000  8 Te 4.35, 4 Sb 4.35
Sb 0.0000 0.0000 0.5000  2 La 3.07
Te 0.0000 0.5000 0.0000  2 La 3.08
Te 0.5000 0.0000 0.0000  2 La 3.08

***

Density functional theory data (PBE) for a geometry-optimized LaGaSb2Te structure.

Results
- Total magnetic moment: 0.00 μB/atom
- Mass density: 6.24 g/cm3
- Offset from the most stable computed form: 0 meV/atom

Cell lengths 5.3174, 5.3174, 5.4549 Å; angles 90.00, 90.00, 90.00 degrees
Closest atoms and distances in Å follow each position.
Sites, in units of the cell vectors:
La 0.0000 0.0000 0.0000  4 Te 3.76, 8 Sb 3.81
Ga 0.5000 0.5000 0.5000  4 Sb 2.66, 2 Te 2.73
Sb 0.0000 0.5000 0.5000  2 Ga 2.66
Sb 0.5000 0.0000 0.5000  2 Ga 2.66
Te 0.5000 0.5000 0.0000  2 Ga 2.73

***

Density functional theory data (PBE) for a geometry-optimized La2GaSbTe structure.

Results
- Energy: -4.004 eV per atom
- Total magnetic moment: 0.00 μB/atom
- Mass density: 4.46 g/cm3

Cell lengths 6.1290, 6.1290, 5.9199 Å; angles 90.00, 90.00, 90.00 degrees
Closest atoms and distances in Å follow each position.
Sites, in units of the cell vectors:
La 0.0000 0.5000 0.0000  2 Sb 3.06
La 0.5000 0.0000 0.0000  2 Sb 3.06
Ga 0.0000 0.0000 0.5000  8 La 4.26, 4 Te 4.33
Sb 0.5000 0.5000 0.0000  2 Te 2.96, 4 La 3.06
Te 0.5000 0.5000 0.5000  2 Sb 2.96

***

Density functional theory data (PBE) for a geometry-optimized LaScGa2 structure.

Results
- Total magnetic moment: 0.00 μB/atom
- Mass density: 5.44 g/cm3
- Formation energy from the elements: -0.3320 eV per atom
- Offset from the most stable computed form: 256 meV/atom

Cell lengths 9.1245, 9.1245, 9.1245 Å; angles 22.62, 22.62, 22.62 degrees
Closest atoms and distances in Å follow each position.
Sites, in units of the cell vectors:
La 0.0000 0.0000 0.0000  6 Ga 3.20
Sc 0.5000 0.5000 0.5000  6 Ga 2.88
Ga 0.2419 0.2419 0.2419  3 Sc 2.88, 3 La 3.20
Ga 0.7581 0.7581 0.7581  3 Sc 2.88, 3 La 3.20

***

Density functional theory data (PBE) for a geometry-optimized LaScGa structure.

Results
- Total magnetic moment: 0.00 μB/atom
- Mass density: 5.46 g/cm3
- Formation energy from the elements: -0.3322 eV per atom
- Offset from the most stable computed form: 121 meV/atom

Cell lengths 6.9090, 6.9090, 6.9090 Å; angles 151.04, 151.04, 41.42 degrees
Closest atoms and distances in Å follow each position.
Sites, in units of the cell vectors:
La 0.0000 0.0000 0.0000  4 Ga 3.28, 4 La 3.46, 4 Sc 3.65
Sc 0.2900 0.2900 0.0000  4 Ga 2.90
Ga 0.6690 0.6690 0.0000  4 Sc 2.90